Computed, not measured: a relaxed CoBiAs2O8 crystal at the PBE with a Hubbard U level of DFT. Values from VASP.

Results
The volume is 14.14 Å³ per atom. For the theoretical density, the calculation gives 5.34 g/cm3. The total energy is -5.892 eV/atom.

The structure in Quantum ESPRESSO input format:
```
&SYSTEM
  ibrav = 0, nat = 12, ntyp = 4
/
ATOMIC_SPECIES
O 16.00 O.upf
As 74.92 As.upf
Co 58.93 Co.upf
Bi 208.98 Bi.upf
CELL_PARAMETERS angstrom
-4.429 2.999 1.037
-0.330 -4.273 -3.365
-1.452 -3.914 5.113
ATOMIC_POSITIONS crystal
O 0.333 0.667 0.470
O 0.667 0.333 0.530
O 0.842 0.158 0.198
As 0.333 0.667 0.726
Co 0.000 0.000 0.000
Bi 0.000 0.000 0.500
As 0.667 0.333 0.274
O 0.683 0.842 0.802
O 0.842 0.683 0.198
O 0.158 0.842 0.802
O 0.158 0.317 0.802
O 0.317 0.158 0.198
```